Record 1
VASP calculation (meta-GGA SCAN) on a crystal of BaLiCa relaxed with PBEsol.

Calculated values
crystal system	tetragonal
ρ	2.55	g/cm3
formation energy from the elements	0.03	eV per atom

abc: 4.171 4.171 13.803
angles: 90.00 90.00 90.00
Space group I4mm (No. 107)
Asymmetric unit:
Ba: 0.000 0.000 0.000 [2 per cell]
Li: 0.000 0.000 0.666 [2 per cell]
Ca: 0.000 0.000 0.289 [2 per cell]


Record 2
VASP calculation (meta-GGA SCAN) on a crystal of LiMoP4O12 relaxed with PBEsol.

Calculated values
crystal system	monoclinic
ρ	3.00	g/cm3
E_form (uncorrected)	-41.626	eV/f.u.

abc: 15.546 7.345 9.682
angles: 90.00 123.02 90.00
Space group C2/c (No. 15)
Asymmetric unit:
Li: 0.000 0.195 0.250 [4 per cell]
Mo: 0.000 0.365 0.750 [4 per cell]
P: 0.129 0.077 0.634 [8 per cell]
P: 0.140 0.331 0.169 [8 per cell]
O: 0.070 0.414 0.213 [8 per cell]
O: 0.071 0.072 0.452 [8 per cell]
O: 0.100 0.202 0.723 [8 per cell]
O: 0.118 0.363 0.999 [8 per cell]
O: 0.141 0.122 0.212 [8 per cell]
O: 0.247 0.111 0.695 [8 per cell]


Record 3
VASP calculation (meta-GGA SCAN) on a crystal of NaH3O2 relaxed with PBEsol.

Calculated values
crystal system	orthorhombic
ρ	1.86	g/cm3
E	-0.2126	Ha/atom

abc: 6.009 6.165 11.176
angles: 90.00 90.00 90.00
Space group Pbca (No. 61)
Asymmetric unit:
Na: 0.146 0.188 0.065 [8 per cell]
H: 0.053 0.626 0.712 [8 per cell]
H: 0.063 0.103 0.365 [8 per cell]
H: 0.227 0.083 0.863 [8 per cell]
O: 0.018 0.655 0.626 [8 per cell]
O: 0.101 0.561 0.863 [8 per cell]